Entry from Alexandria via LeMat-Bulk: a relaxed structure of Mn2AgPt2 (PBE-GGA).

Summary:
- VASP energy: -68.24 eV per cell
- Energy of formation from the pure elements: -0.17 eV per atom

Lattice parameters (Å, degrees): 7.539 7.539 2.876 90.00 90.00 90.00
Site moments in Bohr magnetons follow the coordinates.
Element x y z (fractional)
1 Mn 0.160 0.660 0.500  3.72
2 Mn 0.660 0.840 0.500  3.73
3 Mn 0.840 0.340 0.500  3.72
4 Mn 0.340 0.160 0.500  3.72
5 Ag 0.000 0.000 0.000  0.01
6 Ag 0.500 0.500 0.000  0.01
7 Pt 0.364 0.864 0.000  0.25
8 Pt 0.864 0.636 0.000  0.26
9 Pt 0.636 0.136 0.000  0.25
10 Pt 0.136 0.364 0.000  0.25